## BeZn2Os (GGA-PBEsol)

Data for a geometry-optimized BeZn2Os structure.

As for the volume: 49.7 Å³/f.u. The value obtained for the energy relative to the elements is 0.3 eV per formula unit. The calculation puts the total magnetization at 0.00 Bohr magnetons per cell. The value obtained for the density of states at the Fermi level is 0.43 states/eV per atom.

Structure (POSCAR):
```
BeZn2Os
1.0
3.821 0.000 0.000
0.000 1.300 5.006
0.000 -1.300 5.006
Be Zn Os
1 2 1
direct
0.000 0.000 0.000
0.000 0.233 0.233
0.500 0.853 0.853
0.500 0.585 0.585
```


## BeZn2Os (GGA-PBEsol)

Data for a geometry-optimized BeZn2Os structure.

As for the volume: 50.9 Å³/f.u. The value obtained for the energy relative to the elements is 1.1 eV per formula unit. The calculation puts the total magnetization at 0.00 Bohr magnetons per cell. The value obtained for the density of states at the Fermi level is 0.66 states/eV per atom.

Structure (POSCAR):
```
BeZn2Os
1.0
1.344 0.776 8.140
-1.344 0.776 8.140
0.000 -1.552 8.140
Be Zn Os
1 2 1
direct
0.000 0.000 0.000
0.256 0.256 0.256
0.744 0.744 0.744
0.500 0.500 0.500
```


## BeZn2Os (GGA-PBEsol)

Data for a geometry-optimized BeZn2Os structure.

As for the volume: 49.2 Å³/f.u. The value obtained for the energy relative to the elements is 0.3 eV per formula unit. The calculation puts the total magnetization at 0.00 Bohr magnetons per cell. The value obtained for the density of states at the Fermi level is 0.52 states/eV per atom.

Structure (POSCAR):
```
BeZn2Os
1.0
4.459 -1.558 0.000
4.459 1.558 0.000
-1.735 0.000 3.541
Be Zn Os
1 2 1
direct
0.000 0.000 0.000
0.511 0.511 0.512
0.741 0.741 0.243
0.280 0.280 0.782
```


## BeZnOs (GGA-PBEsol)

Data for a geometry-optimized BeZnOs structure.

As for the volume: 37.4 Å³/f.u. The value obtained for the energy relative to the elements is 1.1 eV per formula unit. The calculation puts the total magnetization at 0.00 Bohr magnetons per cell. The value obtained for the density of states at the Fermi level is 0.52 states/eV per atom.

Structure (POSCAR):
```
BeZnOs
1.0
0.000 2.654 2.654
2.654 0.000 2.654
2.654 2.654 0.000
Be Zn Os
1 1 1
direct
0.000 0.000 0.000
0.750 0.750 0.750
0.250 0.250 0.250
```


## BeZn2Os (GGA-PBEsol)

Data for a geometry-optimized BeZn2Os structure.

As for the volume: 50.6 Å³/f.u. The value obtained for the energy relative to the elements is 0.8 eV per formula unit. The calculation puts the total magnetization at 0.00 Bohr magnetons per cell. The value obtained for the density of states at the Fermi level is 0.61 states/eV per atom.

Structure (POSCAR):
```
BeZn2Os
1.0
2.479 -3.850 0.000
2.479 3.850 0.000
0.000 0.000 2.649
Be Zn Os
1 2 1
direct
0.000 0.000 0.000
0.000 0.500 0.500
0.500 0.000 0.500
0.500 0.500 0.000
```


## BeZn2Os (GGA-PBEsol)

Data for a geometry-optimized BeZn2Os structure.

As for the volume: 48.1 Å³/f.u. The value obtained for the energy relative to the elements is 0.1 eV per formula unit. The calculation puts the total magnetization at 0.00 Bohr magnetons per cell. The value obtained for the density of states at the Fermi level is 0.12 states/eV per atom.

Structure (POSCAR):
```
BeZn2Os
1.0
-1.696 1.696 4.182
1.696 -1.696 4.182
1.696 1.696 -4.182
Be Zn Os
1 2 1
direct
0.000 0.000 0.000
0.250 0.750 0.500
0.750 0.250 0.500
0.500 0.500 0.000
```